#P
VASP calculation (PBE) on MoPt2Se2 after structural relaxation.

POSCAR file:
```
MoPt2Se2
1.0
6.9620 0.0000 0.0000
0.0000 6.9620 0.0000
0.0000 0.0000 3.5420
Mo Pt Se
2 4 4
direct
0.5000 0.5000 0.0000
0.0000 0.0000 0.0000
0.1487 0.6487 0.5000
0.6487 0.8513 0.5000
0.8513 0.3513 0.5000
0.3513 0.1487 0.5000
0.1662 0.3338 0.0000
0.6662 0.1662 0.0000
0.8338 0.6662 0.0000
0.3338 0.8338 0.0000
```

## Properties
- SG = P4/mbm (127)
- crystal system = tetragonal



#Q
VASP calculation (PBE) on MoPt2Se2 after structural relaxation.

POSCAR file:
```
MoPt2Se2
1.0
3.4901 0.0000 0.0000
0.0000 3.4901 0.0000
1.7450 1.7450 7.9114
Pt Se Mo
2 2 1
direct
0.2500 0.7500 0.5000
0.7500 0.2500 0.5000
0.5913 0.5913 0.8173
0.4087 0.4087 0.1827
0.0000 0.0000 0.0000
```

## Properties
- SG = I4/mmm (139)
- crystal system = tetragonal



It turns out #P is the most stable, with the second structure 22.0 kJ/mol of atoms higher.